No. 1
{
  "formula": "Ba3Mn5I12",
  "functional": "PBE",
  "state": "optimized geometry",
  "cell": [[15.8454, 0.0000, 0.0000], [-5.2818, 14.9392, 0.0000], [-5.2818, -7.4696, 12.9377]],
  "species": ["I", "I", "I", "I", "I", "I", "I", "I", "I", "I", "I", "I", "I", "I", "I", "I", "I", "I", "I", "I", "I", "I", "I", "I", "I", "I", "I", "I", "I", "I", "I", "I", "I", "I", "I", "I", "I", "I", "I", "I", "I", "I", "I", "I", "I", "I", "I", "I", "Ba", "Ba", "Ba", "Ba", "Ba", "Ba", "Ba", "Ba", "Ba", "Ba", "Ba", "Ba", "Mn", "Mn", "Mn", "Mn", "Mn", "Mn", "Mn", "Mn", "Mn", "Mn", "Mn", "Mn", "Mn", "Mn", "Mn", "Mn", "Mn", "Mn", "Mn", "Mn"],
  "fractional_positions": [[0.3201, 0.7979, 0.4117], [0.6799, 0.2021, 0.5883], [0.9777, 0.3862, 0.2979], [0.2979, 0.4117, 0.8201], [0.0223, 0.4084, 0.8201], [0.0883, 0.1799, 0.2021], [0.4777, 0.6799, 0.0916], [0.8862, 0.2979, 0.4777], [0.5223, 0.2021, 0.1138], [0.1799, 0.0883, 0.7021], [0.1138, 0.7021, 0.5223], [0.8201, 0.9084, 0.0223], [0.4777, 0.7979, 0.8862], [0.6138, 0.0223, 0.2021], [0.9117, 0.0916, 0.6138], [0.2979, 0.8862, 0.9777], [0.5916, 0.9777, 0.6799], [0.4117, 0.1138, 0.5916], [0.5223, 0.3201, 0.9084], [0.9117, 0.8201, 0.7979], [0.7021, 0.5883, 0.1799], [0.0883, 0.9084, 0.3862], [0.4117, 0.2979, 0.3201], [0.3862, 0.4084, 0.0883], [0.6799, 0.4777, 0.5916], [0.5883, 0.7021, 0.6799], [0.6138, 0.5916, 0.9117], [0.9084, 0.8201, 0.5223], [0.2021, 0.6799, 0.0883], [0.7979, 0.3201, 0.9117], [0.8862, 0.5883, 0.9084], [0.5916, 0.6138, 0.4117], [0.7021, 0.1138, 0.0223], [0.3201, 0.5223, 0.4084], [0.9777, 0.5916, 0.1799], [0.0223, 0.6138, 0.7021], [0.2021, 0.5223, 0.6138], [0.8201, 0.9117, 0.2979], [0.0916, 0.1799, 0.4777], [0.1138, 0.4117, 0.0916], [0.0916, 0.9117, 0.1138], [0.4084, 0.0223, 0.3201], [0.3862, 0.9777, 0.7979], [0.5883, 0.8862, 0.4084], [0.4084, 0.3862, 0.5883], [0.9084, 0.0883, 0.8862], [0.7979, 0.4777, 0.3862], [0.1799, 0.0916, 0.9777], [0.7500, 0.8750, 0.6250], [0.1250, 0.8750, 0.7500], [0.6250, 0.2500, 0.3750], [0.8750, 0.1250, 0.2500], [0.6250, 0.3750, 0.7500], [0.2500, 0.6250, 0.8750], [0.8750, 0.7500, 0.1250], [0.3750, 0.6250, 0.2500], [0.2500, 0.1250, 0.3750], [0.3750, 0.7500, 0.6250], [0.7500, 0.3750, 0.1250], [0.1250, 0.2500, 0.8750], [0.5000, 0.0000, 0.5000], [0.7500, 0.1250, 0.8750], [0.2500, 0.3750, 0.6250], [0.3750, 0.2500, 0.1250], [0.6250, 0.7500, 0.8750], [0.5000, 0.5000, 0.5000], [0.1250, 0.3750, 0.2500], [0.6250, 0.8750, 0.2500], [0.8750, 0.2500, 0.6250], [0.3750, 0.1250, 0.7500], [0.7500, 0.6250, 0.3750], [0.0000, 0.0000, 0.0000], [0.5000, 0.5000, 0.0000], [0.1250, 0.7500, 0.3750], [0.0000, 0.0000, 0.5000], [0.0000, 0.5000, 0.0000], [0.5000, 0.0000, 0.0000], [0.2500, 0.8750, 0.1250], [0.8750, 0.6250, 0.7500], [0.0000, 0.5000, 0.5000]],
  "energy_ev_per_atom": -4.199,
  "magnetic_moment_mub_per_atom": 1.052,
  "e_form_raw_mev_per_atom": -688
}


No. 2
{
  "formula": "Tl2GaPbSe4",
  "functional": "PBE",
  "state": "optimized geometry",
  "cell": [[-1.0351, -6.6989, -1.9320], [4.1891, -3.1369, -4.2245], [2.6377, -5.1181, 3.4761]],
  "species": ["Se", "Se", "Se", "Se", "Pb", "Tl", "Tl", "Ga"],
  "fractional_positions": [[0.8822, 0.0000, 0.6523], [0.1178, 0.3477, 0.0000], [0.4655, 0.6523, 0.0000], [0.5345, 0.0000, 0.3477], [0.0000, 0.0000, 0.0000], [0.0000, 0.5000, 0.5000], [0.5000, 0.5000, 0.5000], [0.5000, 0.0000, 0.0000]],
  "energy_ev_per_atom": -3.596,
  "magnetic_moment_mub_per_atom": 0.000,
  "e_form_raw_mev_per_atom": -420
}


No. 3
{
  "formula": "Mg2Si2GeIr5",
  "functional": "PBE",
  "state": "optimized geometry",
  "cell": [[-2.5149, 2.2801, -0.1303], [-6.0536, -6.4914, 3.2463], [1.9299, 2.6355, 8.8687]],
  "species": ["Si", "Si", "Si", "Si", "Ir", "Ir", "Ir", "Ir", "Ir", "Ir", "Ir", "Ir", "Ir", "Ir", "Ge", "Ge", "Mg", "Mg", "Mg", "Mg"],
  "fractional_positions": [[0.0000, 0.8712, 0.3712], [0.0000, 0.6288, 0.8712], [0.0000, 0.1288, 0.6288], [0.0000, 0.3712, 0.1288], [0.5000, 0.0741, 0.7968], [0.5000, 0.2968, 0.5741], [0.5000, 0.5000, 0.0000], [0.5000, 0.0000, 0.5000], [0.5000, 0.5741, 0.7032], [0.5000, 0.2032, 0.0741], [0.5000, 0.7968, 0.9259], [0.5000, 0.4259, 0.2968], [0.5000, 0.7032, 0.4259], [0.5000, 0.9259, 0.2032], [0.0000, 0.0000, 0.0000], [0.0000, 0.5000, 0.5000], [0.0000, 0.1711, 0.3289], [0.0000, 0.8289, 0.6711], [0.0000, 0.6711, 0.1711], [0.0000, 0.3289, 0.8289]],
  "energy_ev_per_atom": -6.801,
  "magnetic_moment_mub_per_atom": 0.000,
  "e_form_raw_mev_per_atom": -506
}


No. 4
{
  "formula": "Er5Tm4Tl4",
  "functional": "PBE",
  "state": "optimized geometry",
  "cell": [[4.8631, 0.0000, 1.2364], [2.4315, 8.5715, 0.6182], [0.3194, 0.0000, 8.9254]],
  "species": ["Er", "Er", "Er", "Er", "Er", "Tm", "Tm", "Tm", "Tm", "Tl", "Tl", "Tl", "Tl"],
  "fractional_positions": [[0.6862, 0.9131, 0.7145], [0.3138, 0.0869, 0.2855], [0.5993, 0.7145, 0.0869], [0.0000, 0.0000, 0.0000], [0.4007, 0.2855, 0.9131], [0.9033, 0.4936, 0.6998], [0.0967, 0.5064, 0.3002], [0.6031, 0.3002, 0.4936], [0.3969, 0.6998, 0.5064], [0.8958, 0.8688, 0.3396], [0.7646, 0.3396, 0.1312], [0.2354, 0.6604, 0.8688], [0.1042, 0.1312, 0.6604]],
  "delta_e_f_ev_per_atom": -0.244,
  "energy_ev_per_atom": -4.103,
  "magnetic_moment_mub_per_atom": 0.000
}


No. 5
{
  "formula": "Nd2IBrN",
  "functional": "PBE",
  "state": "optimized geometry",
  "cell": [[-2.2544, 2.6331, -2.1430], [-7.9072, -4.8799, -1.5527], [-5.0653, 3.6467, 5.9342]],
  "species": ["N", "N", "Nd", "Nd", "Nd", "Nd", "I", "I", "Br", "Br"],
  "fractional_positions": [[0.0592, 0.0599, 0.8218], [0.9408, 0.9401, 0.1782], [0.8874, 0.1761, 0.0492], [0.1126, 0.8239, 0.9508], [0.3980, 0.8901, 0.3139], [0.6020, 0.1099, 0.6861], [0.1931, 0.2399, 0.3738], [0.8069, 0.7601, 0.6262], [0.6178, 0.6173, 0.1472], [0.3822, 0.3827, 0.8528]],
  "energy_ev_per_atom": -5.714,
  "magnetic_moment_mub_per_atom": 0.000,
  "e_form_raw_mev_per_atom": -1497
}